No. 1
Density functional theory data (GGA-PBE) for CdTeSe2 after structural relaxation.

Structure (POSCAR):
```
CdTeSe2
1.0
9.045 0.280 0.000
7.170 5.521 0.000
-8.108 -2.900 2.783
Se Te Cd
2 1 1
Direct
0.500 0.500 0.000
0.000 0.000 0.000
0.250 0.750 0.500
0.750 0.250 0.500
```

Summary:
SG = I4/mmm
Calculated volume = 133 Å³/cell
Total DFT energy (no corrections) = -2.60 eV per atom
ΔE_f (raw) = 0.156 eV per atom
Density = 4.954 g/cm3

No. 2
Density functional theory data (GGA-PBE) for Cd2TeSe after structural relaxation.

Structure (POSCAR):
```
Cd2TeSe
1.0
-3.922 -6.117 1.906
1.504 -6.941 2.446
0.981 7.436 0.418
Te Cd Se
1 2 1
Direct
0.705 0.205 0.500
0.034 0.034 0.000
0.304 0.804 0.500
0.457 0.457 0.000
```

Summary:
SG = Imm2
Excess energy over the best structure of this formula in the dataset = 333 meV/atom
Calculated volume = 106 Å³/cell
Total DFT energy (no corrections) = -2.32 eV per atom
ΔE_f (raw) = -0.205 eV per atom
Density = 6.747 g/cm3

No. 3
Density functional theory data (GGA-PBE) for CdTeSe2 after structural relaxation.

Structure (POSCAR):
```
CdTeSe2
1.0
-2.165 -1.469 2.450
3.929 -0.402 3.230
-1.049 4.636 1.854
Te Se Cd
1 2 1
Direct
0.500 0.500 0.000
0.000 0.500 0.500
0.000 0.000 0.000
0.500 0.000 0.500
```

Summary:
SG = P4/mmm
Calculated volume = 93 Å³/cell
Total DFT energy (no corrections) = -2.62 eV per atom
ΔE_f (raw) = 0.138 eV per atom
Density = 7.081 g/cm3

No. 4
Density functional theory data (GGA-PBE) for Cd2TeSe2 after structural relaxation.

Structure (POSCAR):
```
Cd2TeSe2
1.0
8.281 0.000 0.000
0.000 8.281 0.000
0.000 0.000 4.107
Se Cd Te
4 4 2
Direct
0.768 0.732 0.000
0.268 0.768 0.000
0.732 0.232 0.000
0.232 0.268 0.000
0.116 0.616 0.500
0.384 0.116 0.500
0.884 0.384 0.500
0.616 0.884 0.500
0.000 0.000 0.000
0.500 0.500 0.000
```

Summary:
SG = P4/mbm
Excess energy over the best structure of this formula in the dataset = 0 meV/atom
Calculated volume = 282 Å³/cell
Total DFT energy (no corrections) = -2.48 eV per atom
ΔE_f (raw) = -0.096 eV per atom
Density = 6.017 g/cm3

No. 5
Density functional theory data (GGA-PBE) for CdTeSe2 after structural relaxation.

Structure (POSCAR):
```
CdTeSe2
1.0
3.826 0.000 0.000
0.000 3.920 0.017
0.000 -1.466 7.377
Se Te Cd
2 1 1
Direct
0.000 0.327 0.531
0.000 0.173 0.969
0.500 0.250 0.250
0.500 0.750 0.750
```

Summary:
SG = P2/m
Calculated volume = 111 Å³/cell
Total DFT energy (no corrections) = -2.82 eV per atom
ΔE_f (raw) = -0.059 eV per atom
Density = 5.968 g/cm3

No. 6
Density functional theory data (GGA-PBE) for CdTeSe2 after structural relaxation.

Structure (POSCAR):
```
CdTeSe2
1.0
-2.020 6.426 -2.909
-3.911 3.459 -5.155
-5.501 4.624 -1.476
Cd Se Te
1 2 1
Direct
0.738 0.738 0.738
0.247 0.247 0.247
0.008 0.008 0.008
0.506 0.506 0.506
```

Summary:
SG = R3m
Calculated volume = 105 Å³/cell
Total DFT energy (no corrections) = -2.78 eV per atom
ΔE_f (raw) = -0.019 eV per atom
Density = 6.321 g/cm3